First-principles (PBE) data for an optimized crystal structure of AgSbPtCl2, as listed in Alexandria via LeMat-Bulk.

a b c (Å): 4.777 5.533 4.777
angles (deg): 90.00 90.00 90.00
Element x y z (fractional)
Sb (0.000, 0.500, 0.000)
Ag (0.500, 0.500, 0.500)
Pt (0.000, 0.000, 0.000)
Cl (0.000, 0.000, 0.500)
Cl (0.500, 0.000, 0.000)

## Properties
energy relative to the elements, uncorrected	0.147	eV per atom
theoretical density	6.5	g/cm³

First-principles (PBE) data for an optimized crystal structure of AgSnPtCl2, as listed in Alexandria via LeMat-Bulk.

a b c (Å): 4.776 5.467 4.776
angles (deg): 90.00 90.00 90.00
Element x y z (fractional)
Cl (0.000, 0.000, 0.500)
Cl (0.500, 0.000, 0.000)
Pt (0.000, 0.000, 0.000)
Sn (0.500, 0.500, 0.500)
Ag (0.000, 0.500, 0.000)

## Properties
energy relative to the elements, uncorrected	0.144	eV per atom
theoretical density	6.6	g/cm³

First-principles (PBE) data for an optimized crystal structure of TaAg2PtCl, as listed in Alexandria via LeMat-Bulk.

a b c (Å): 4.743 4.721 4.743
angles (deg): 90.00 90.00 90.00
Site moments in Bohr magnetons follow the coordinates.
Element x y z (fractional)
Ag (0.000, 0.000, 0.500)  0.03
Ag (0.500, 0.000, 0.000)  0.03
Ta (0.500, 0.500, 0.500)  1.47
Pt (0.000, 0.500, 0.000)  0.03
Cl (0.000, 0.000, 0.000)  0.02

## Properties
energy relative to the elements, uncorrected	1.365	eV per atom
theoretical density	9.8	g/cm³

- Which formula does entry 3 have?
  TaAg2PtCl

- Look up the theoretical density of the third one.
  9.8 g/cm³